[1]
A plane-wave DFT calculation with GGA-PBE was carried out for a relaxed structure of ZnHgSeO.

a = 5.0422 Å, b = 5.0422 Å, c = 6.5626 Å
α = 90.00°, β = 90.00°, γ = 90.00°
Atoms (fractional coordinates):
1 Zn 0.2500 0.2500 0.1418
2 Zn 0.7500 0.7500 0.8582
3 Hg 0.2500 0.2500 0.7230
4 Hg 0.7500 0.7500 0.2770
5 Se 0.2500 0.7500 0.0000
6 Se 0.7500 0.2500 0.0000
7 O 0.2500 0.2500 0.4167
8 O 0.7500 0.7500 0.5833

Volume (Å³ per cell): 166.8
Symmetry: P4/nmm, No. 129
Final energy (eV/atom): -2.601
Polymorph energy (0 for the lowest one) (meV per atom): 551
Crystal system: tetragonal

[2]
A plane-wave DFT calculation with GGA-PBE was carried out for a relaxed structure of ZnHgSeO.

a = 6.5105 Å, b = 7.2582 Å, c = 7.4330 Å
α = 90.00°, β = 90.00°, γ = 90.00°
Atoms (fractional coordinates):
1 Zn 0.2004 0.1069 0.0350
2 Zn 0.2996 0.8931 0.5350
3 Zn 0.7004 0.3931 0.9650
4 Zn 0.7996 0.6069 0.4650
5 Hg 0.2418 0.3541 0.5231
6 Hg 0.2582 0.6459 0.0231
7 Hg 0.7418 0.1459 0.4769
8 Hg 0.7582 0.8541 0.9769
9 Se 0.0594 0.3640 0.8763
10 Se 0.4406 0.6360 0.3763
11 Se 0.5594 0.1360 0.1237
12 Se 0.9406 0.8640 0.6237
13 O 0.0721 0.8865 0.1045
14 O 0.4279 0.1135 0.6045
15 O 0.5721 0.6135 0.8955
16 O 0.9279 0.3865 0.3955

Volume (Å³ per cell): 351.2
Symmetry: P2_12_12_1, No. 19
Final energy (eV/atom): -2.957
Polymorph energy (0 for the lowest one) (meV per atom): 196
Crystal system: orthorhombic

- Which value of volume does entry 1 give?
  166.8 Å³ per cell

- The highest volume belongs to which entry?
  number 2